#P
LaMoAsSe2: optimized geometry, PBE-GGA.

Summary:
**M_tot**: 0.8 μB per cell
**N(E_F)**: 3.8 states/eV/f.u.

```
LaMoAsSe2
1.0
-0.689 -4.847 -1.225
2.516 -1.405 4.143
-4.125 -0.044 2.490
Se Mo As La
2 1 1 1
Direct
0.500 0.000 0.000
0.000 0.500 0.000
0.000 0.000 0.000
0.000 0.000 0.500
0.500 0.500 0.500
```

=====

#Q
LaMoAsSe2: optimized geometry, PBE-GGA.

Summary:
**M_tot**: 0.4 μB per cell
**N(E_F)**: 8.6 states/eV/f.u.

```
LaMoAsSe2
1.0
5.587 0.000 0.000
0.000 5.587 0.000
0.000 0.000 5.659
Mo Se La As
1 2 1 1
Direct
0.500 0.500 0.500
0.000 0.500 0.000
0.500 0.000 0.000
0.000 0.000 0.000
0.000 0.000 0.500
```

=====

Relative energies, in kJ/mol of atoms, with the most stable structure set to zero: #P 0.0; #Q 156.5.